Entry 1:
Bi12PO20: relaxed, PBE-GGA.

Unit cell a=8.946 b=8.946 c=8.946 alpha=109.47 beta=109.47 gamma=109.47
Atoms (fractional coordinates):
O: 0.619 0.244 0.362
Bi: 0.853 0.653 0.153
O: 0.375 0.118 0.756
O: 0.743 0.625 0.381
O: 0.882 0.257 0.638
Bi: 0.700 0.847 0.500
Bi: 0.500 0.347 0.199
Bi: 0.199 0.500 0.347
O: 0.000 0.000 0.596
O: 0.404 0.404 0.404
Bi: 0.801 0.147 0.300
O: 0.244 0.362 0.619
O: 0.000 0.000 0.176
O: 0.000 0.596 0.000
O: 0.756 0.375 0.118
O: 0.118 0.756 0.375
Bi: 0.153 0.853 0.653
O: 0.257 0.638 0.882
O: 0.000 0.176 0.000
O: 0.176 0.000 0.000
O: 0.824 0.824 0.824
Bi: 0.847 0.500 0.700
Bi: 0.300 0.801 0.147
O: 0.638 0.882 0.257
O: 0.381 0.743 0.625
Bi: 0.653 0.153 0.853
O: 0.596 0.000 0.000
O: 0.625 0.381 0.743
O: 0.362 0.619 0.244
Bi: 0.347 0.199 0.500
Bi: 0.147 0.300 0.801
Bi: 0.500 0.700 0.847
P: 0.000 0.000 0.000

Entry 2:
Bi2P3O12: relaxed, PBE-GGA.

Unit cell a=9.498 b=9.498 c=9.498 alpha=54.77 beta=54.77 gamma=54.77
Atoms (fractional coordinates):
O: 0.964 0.408 0.211
O: 0.531 0.206 0.148
P: 0.952 0.548 0.254
O: 0.508 0.466 0.833
O: 0.852 0.469 0.794
O: 0.789 0.036 0.592
O: 0.794 0.852 0.469
O: 0.139 0.251 0.863
Bi: 0.144 0.144 0.144
O: 0.167 0.492 0.534
O: 0.749 0.137 0.861
P: 0.254 0.952 0.548
O: 0.148 0.531 0.206
Bi: 0.345 0.345 0.345
Bi: 0.655 0.655 0.655
P: 0.048 0.452 0.746
O: 0.861 0.749 0.137
O: 0.492 0.534 0.167
O: 0.534 0.167 0.492
O: 0.408 0.211 0.964
P: 0.746 0.048 0.452
O: 0.251 0.863 0.139
O: 0.592 0.789 0.036
O: 0.211 0.964 0.408
O: 0.206 0.148 0.531
O: 0.036 0.592 0.789
P: 0.548 0.254 0.952
O: 0.469 0.794 0.852
O: 0.466 0.833 0.508
O: 0.833 0.508 0.466
O: 0.863 0.139 0.251
O: 0.137 0.861 0.749
Bi: 0.856 0.856 0.856
P: 0.452 0.746 0.048

Entry 3:
BiP2O7: relaxed, PBE-GGA.

Unit cell a=8.896 b=7.601 c=10.167 alpha=69.61 beta=90.00 gamma=90.00
Atoms (fractional coordinates):
O: 0.631 0.359 0.397
P: 0.702 0.319 0.938
O: 0.187 0.681 0.412
P: 0.257 0.078 0.544
O: 0.338 0.888 0.063
O: 0.292 0.169 0.386
P: 0.743 0.922 0.456
O: 0.896 0.973 0.862
O: 0.687 0.319 0.088
P: 0.202 0.681 0.562
O: 0.792 0.831 0.114
Bi: 0.505 0.738 0.753
P: 0.298 0.681 0.062
O: 0.911 0.441 0.332
O: 0.396 0.027 0.638
O: 0.604 0.973 0.362
O: 0.708 0.831 0.614
O: 0.813 0.319 0.588
O: 0.869 0.359 0.897
O: 0.589 0.441 0.832
Bi: 0.005 0.262 0.747
O: 0.144 0.206 0.580
O: 0.356 0.206 0.080
O: 0.644 0.794 0.920
Bi: 0.995 0.738 0.253
O: 0.856 0.794 0.420
O: 0.162 0.888 0.563
P: 0.798 0.319 0.438
O: 0.089 0.559 0.668
O: 0.313 0.681 0.912
O: 0.131 0.641 0.103
P: 0.757 0.922 0.956
O: 0.662 0.112 0.937
O: 0.208 0.169 0.886
P: 0.243 0.078 0.044
O: 0.104 0.027 0.138
O: 0.369 0.641 0.603
O: 0.411 0.559 0.168
O: 0.838 0.112 0.437
Bi: 0.495 0.262 0.247

Entry 4:
BiPO: relaxed, PBE-GGA.

Unit cell a=3.689 b=3.689 c=4.436 alpha=90.35 beta=90.18 gamma=90.00
Atoms (fractional coordinates):
Bi: 0.850 0.793 0.845
P: 0.352 0.297 0.132
O: 0.353 0.300 0.483

| no. | magnetic moment (μB/atom) | E_form (uncorrected) (eV per atom) | D(E_F) (states/eV per cell) |
| --- | --- | --- | --- |
| 1 | 0.00 | -1.33 | 4.586 |
| 2 | 0.00 | -1.67 | 9.234 |
| 3 | 0.00 | -1.82 | 8.690 |
| 4 | 0.00 | -0.51 | 0.696 |